NdSm2Ho2 after structural relaxation, computed with GGA-PBE.

a = 4.106 Å, b = 4.106 Å, c = 12.795 Å
α = 99.23°, β = 99.23°, γ = 90.00°
Positions (direct):
Sm 0.133 0.133 0.267
Nd 0.000 0.000 0.000
Sm 0.867 0.867 0.733
Ho 0.250 0.750 0.500
Ho 0.750 0.250 0.500

Energy relative to the elements ... 4.6 eV per formula unit
DOS(E_F) ... 8.59 states/eV per cell
Symmetry ... I4/mmm